SrOs2O7 | PBE-GGA | optimized geometry

Cell lengths 3.794, 5.936, 5.936 Å; angles 116.07, 90.00, 90.00 degrees
Site moments in Bohr magnetons follow the coordinates.
Fractional coordinates of all 10 atoms:
O 0.500 0.039 0.326  0.01
O 0.500 0.674 0.961  0.01
O 0.500 0.326 0.039  0.01
O 0.000 0.304 0.696  0.07
O 0.000 0.696 0.304  0.07
O 0.500 0.961 0.674  0.01
O 0.500 0.500 0.500  0.08
Os 0.500 0.691 0.309  0.25
Os 0.500 0.309 0.691  0.25
Sr 0.000 0.000 0.000  0.00

## Properties
- Raw formation energy: -1.328 eV/atom

***

AcLaTmIn | PBE-GGA | optimized geometry

Cell lengths 5.683, 5.683, 5.683 Å; angles 60.00, 60.00, 60.00 degrees
Fractional coordinates of all 4 atoms:
La 0.500 0.500 0.500
Ac 0.750 0.750 0.750
Tm 0.000 0.000 0.000
In 0.250 0.250 0.250

## Properties
- Formation energy: -6 kJ per mole of atoms

***

Y3Cl | PBE-GGA | optimized geometry

Cell lengths 5.791, 5.791, 3.520 Å; angles 90.00, 90.00, 90.08 degrees
Fractional coordinates of all 4 atoms:
Y 0.500 0.500 0.000
Y 0.000 0.500 0.500
Y 0.500 0.000 0.500
Cl 0.000 0.000 0.000

## Properties
- E above lowest polymorph: 1.684 eV per formula unit
- Raw formation energy: -0.238 eV/atom

***

BiTeAsC2 | PBE-GGA | optimized geometry

Cell lengths 4.489, 6.327, 4.489 Å; angles 90.00, 90.00, 90.00 degrees
Site moments in Bohr magnetons follow the coordinates.
Fractional coordinates of all 5 atoms:
C 0.000 0.000 0.500  0.51
C 0.500 0.000 0.000  0.56
Te 0.000 0.500 0.000  0.13
Bi 0.000 0.000 0.000  -0.06
As 0.500 0.500 0.500  -0.34

## Properties
- Raw formation energy: 2.456 eV/atom